A plane-wave DFT calculation with PBE was carried out for crystalline Eu2TmCu at its relaxed geometry. Values from VASP.

Results
- Total energy: -6.983 eV/atom
- DOS at the Fermi energy: 3.969 states/eV/cell
- ΔE to the lowest computed polymorph: 0.2566 eV per atom
- M_tot: 15.2 μB/cell

Structure (Quantum ESPRESSO input):
```
&SYSTEM
  ibrav = 0, nat = 4, ntyp = 3
/
ATOMIC_SPECIES
Eu 151.96 Eu.upf
Cu 63.55 Cu.upf
Tm 168.93 Tm.upf
ATOMIC_POSITIONS angstrom
Eu -0.1574 -4.5126 5.5290
Eu 3.8460 -0.3327 6.9721
Cu 1.8443 -2.4226 6.2506
Tm 0.0000 0.0000 0.0000
CELL_PARAMETERS angstrom
-2.4056 -1.5772 2.1887
0.2062 -3.5489 0.6538
5.8879 0.2809 9.6586
```

=====

A plane-wave DFT calculation with PBE was carried out for crystalline Tl2SiRu at its relaxed geometry. Values from VASP.

Results
- Total energy: -4.088 eV/atom
- DOS at the Fermi energy: 3.358 states/eV/cell
- ΔE to the lowest computed polymorph: 0.7269 eV per atom
- M_tot: 0.0 μB/cell

Structure (Quantum ESPRESSO input):
```
&SYSTEM
  ibrav = 0, nat = 4, ntyp = 3
/
ATOMIC_SPECIES
Ru 101.07 Ru.upf
Tl 204.38 Tl.upf
Si 28.09 Si.upf
ATOMIC_POSITIONS angstrom
Ru 1.3276 -0.1230 3.3543
Tl 0.0000 0.0000 0.0000
Tl -1.9457 2.1975 1.3617
Si -1.4130 -0.3875 2.4505
CELL_PARAMETERS angstrom
-4.6863 1.9330 0.4579
1.8603 -2.7081 4.4431
0.7948 2.4620 2.2654
```

=====

A plane-wave DFT calculation with PBE was carried out for crystalline Hf3TiN3 at its relaxed geometry. Values from VASP.

Results
- Total energy: -10.128 eV/atom
- DOS at the Fermi energy: 6.034 states/eV/cell
- ΔE to the lowest computed polymorph: 0.2280 eV per atom
- M_tot: 0.0 μB/cell

Structure (Quantum ESPRESSO input):
```
&SYSTEM
  ibrav = 0, nat = 14, ntyp = 3
/
ATOMIC_SPECIES
N 14.01 N.upf
Hf 178.49 Hf.upf
Ti 47.87 Ti.upf
ATOMIC_POSITIONS angstrom
N -3.0029 -2.6081 2.0110
Hf -1.6436 -3.8880 3.2724
Hf -0.5070 -2.1207 1.4222
Hf 2.9298 -2.3347 1.9783
Hf 0.7933 -2.1058 4.3535
N -1.1042 -0.0700 1.0598
Hf -0.3682 -3.9206 -1.5624
N -0.9080 -4.2471 0.7938
N -1.0465 -5.9387 3.6348
Ti 1.0538 -4.4588 1.0156
Hf -2.9440 -3.9029 0.3411
Ti -3.2045 -1.5499 3.6790
N -1.2426 -1.7616 3.9008
N 0.8523 -3.4006 2.6836
CELL_PARAMETERS angstrom
-4.7122 0.2466 4.2788
-1.6336 -4.5291 -2.9209
4.1952 -1.7262 3.3368
```